Entry 1:
## ZrSi8 (PBE-GGA)

Data for a relaxed structure of ZrSi8.

Cell: 6.478 6.478 6.478 Å, 94.22 94.22 148.53°
Sites, in units of the cell vectors:
Zr 0.000 0.000 0.000
Si 0.327 0.673 0.000
Si 0.673 0.327 0.000
Si 0.000 0.329 0.329
Si 0.673 0.673 0.347
Si 0.329 0.000 0.329
Si 0.327 0.327 0.653
Si 0.000 0.671 0.671
Si 0.671 0.000 0.671

Computed properties:
Theoretical density ... 3.840 Mg/m³
Space-group type ... I4/mmm (139)
ΔE_f (raw) ... 0.20 eV/atom

Entry 2:
## Rb2TmNpO4 (PBE-GGA)

Data for a relaxed structure of Rb2TmNpO4.

Cell: 3.529 6.122 6.877 Å, 107.25 90.00 90.00°
Last column: magnetic moment on the atom in μB.
Sites, in units of the cell vectors:
Rb 0.500 0.000 0.500  0.02
Rb 0.000 0.500 0.500  0.02
Tm 0.000 0.000 0.000  0.07
Np 0.500 0.500 0.000  3.74
O 0.500 0.217 0.172  -0.02
O 0.500 0.783 0.828  -0.02
O 0.000 0.269 0.827  -0.06
O 0.000 0.731 0.173  -0.06

Computed properties:
Theoretical density ... 7.499 Mg/m³
Space-group type ... P2/m (10)
ΔE_f (raw) ... -2.42 eV/atom

Entry 3:
## Sc4ZnCu2Pd (PBE-GGA)

Data for a relaxed structure of Sc4ZnCu2Pd.

Cell: 4.663 4.663 8.088 Å, 73.24 73.24 60.00°
Sites, in units of the cell vectors:
Sc 0.376 0.376 0.871
Sc 0.874 0.874 0.378
Sc 0.126 0.126 0.622
Sc 0.624 0.624 0.129
Zn 0.000 0.000 0.000
Cu 0.746 0.746 0.762
Cu 0.254 0.254 0.238
Pd 0.500 0.500 0.500

Computed properties:
Theoretical density ... 5.535 Mg/m³
Space-group type ... R-3m (166)
DFT formation energy ... -460 meV/atom

Entry 4:
## BaSn4Sb (PBE-GGA)

Data for a relaxed structure of BaSn4Sb.

Cell: 6.377 6.377 6.377 Å, 60.00 60.00 60.00°
Sites, in units of the cell vectors:
Sb 0.250 0.250 0.250
Ba 0.000 0.000 0.000
Sn 0.624 0.624 0.129
Sn 0.624 0.129 0.624
Sn 0.624 0.624 0.624
Sn 0.129 0.624 0.624

Computed properties:
Theoretical density ... 6.647 Mg/m³
Space-group type ... F-43m (216)
ΔE_f (raw) ... -0.19 eV/atom

Entry 5:
## La2Al3PdPt4 (PBE-GGA)

Data for a relaxed structure of La2Al3PdPt4.

Cell: 4.150 4.150 11.406 Å, 90.00 90.00 90.00°
Sites, in units of the cell vectors:
La 0.500 0.000 0.260
La 0.000 0.500 0.740
Al 0.000 0.000 0.500
Al 0.500 0.000 0.875
Al 0.000 0.500 0.125
Pd 0.500 0.500 0.500
Pt 0.500 0.500 0.000
Pt 0.000 0.000 0.000
Pt 0.500 0.000 0.657
Pt 0.000 0.500 0.343

Computed properties:
Theoretical density ... 10.529 Mg/m³
Space-group type ... P-4m2 (115)
DFT formation energy ... -1049 meV/atom

Entry 6:
## NaGe2Ir (PBE-GGA)

Data for a relaxed structure of NaGe2Ir.

Cell: 5.356 5.356 8.489 Å, 71.61 71.61 90.00°
Sites, in units of the cell vectors:
Na 0.500 0.500 0.000
Na 0.250 0.750 0.500
Ge 0.809 0.125 0.250
Ge 0.941 0.625 0.250
Ge 0.375 0.191 0.750
Ge 0.875 0.059 0.750
Ir 0.000 0.000 0.000
Ir 0.750 0.250 0.500

Computed properties:
Theoretical density ... 5.493 Mg/m³
Space-group type ... I-42d (122)
DFT formation energy ... 50 meV/atom

Entry 7:
## EuNpCo4 (PBE-GGA)

Data for a relaxed structure of EuNpCo4.

Cell: 5.053 5.053 5.053 Å, 60.00 60.00 60.00°
Last column: magnetic moment on the atom in μB.
Sites, in units of the cell vectors:
Np 0.000 0.000 0.000  3.91
Eu 0.250 0.250 0.250  6.87
Co 0.626 0.626 0.122  -1.20
Co 0.626 0.122 0.626  -1.20
Co 0.626 0.626 0.626  -1.20
Co 0.122 0.626 0.626  -1.20

Computed properties:
Theoretical density ... 11.374 Mg/m³
Space-group type ... F-43m (216)
DFT formation energy ... 47 meV/atom

Entry 8:
## ZrCo2Ge (PBE-GGA)

Data for a relaxed structure of ZrCo2Ge.

Cell: 3.663 3.663 8.910 Å, 90.00 90.00 90.00°
Last column: magnetic moment on the atom in μB.
Sites, in units of the cell vectors:
Zr 0.500 0.000 0.224  -0.12
Zr 0.000 0.500 0.776  -0.12
Co 0.500 0.000 0.937  1.25
Co 0.000 0.500 0.063  1.25
Co 0.000 0.000 0.500  -0.10
Co 0.500 0.500 0.500  -0.10
Ge 0.500 0.000 0.662  0.00
Ge 0.000 0.500 0.338  0.00

Computed properties:
Theoretical density ... 7.827 Mg/m³
Space-group type ... P4/nmm (129)
DFT formation energy ... -321 meV/atom

Entry 9:
## Mg2Zr4Pa (PBE-GGA)

Data for a relaxed structure of Mg2Zr4Pa.

Cell: 3.108 3.097 19.056 Å, 92.16 94.68 62.52°
Sites, in units of the cell vectors:
Mg 0.786 0.500 0.571
Mg 0.214 0.500 0.429
Zr 0.928 0.500 0.856
Zr 0.643 0.000 0.286
Zr 0.072 0.500 0.144
Zr 0.357 0.000 0.714
Pa 0.500 0.000 0.000

Computed properties:
Theoretical density ... 6.599 Mg/m³
Space-group type ... C2/m (12)
DFT formation energy ... 62 meV/atom

Entry 10:
## H4Rh2Au3 (PBE-GGA)

Data for a relaxed structure of H4Rh2Au3.

Cell: 3.051 5.495 6.648 Å, 107.70 90.00 106.12°
Sites, in units of the cell vectors:
H 0.686 0.373 0.080
H 0.314 0.627 0.920
H 0.836 0.671 0.560
H 0.164 0.329 0.440
Rh 0.678 0.356 0.317
Rh 0.322 0.644 0.683
Au 0.600 0.199 0.713
Au 0.000 0.000 0.000
Au 0.400 0.801 0.287

Computed properties:
Theoretical density ... 13.090 Mg/m³
Space-group type ... C2/m (12)
Total DFT energy (no corrections) ... -4.09 eV per atom

Entry 11:
## Cu2AsRu (PBE-GGA)

Data for a relaxed structure of Cu2AsRu.

Cell: 2.736 2.736 8.854 Å, 90.00 90.00 119.37°
Last column: magnetic moment on the atom in μB.
Sites, in units of the cell vectors:
As 0.500 0.500 0.750  0.00
Cu 0.000 0.000 0.004  0.02
Cu 0.000 0.000 0.496  0.02
Ru 0.500 0.500 0.250  0.77

Computed properties:
Theoretical density ... 8.714 Mg/m³
Space-group type ... Cmmm (65)
DFT formation energy ... 380 meV/atom

Entry 12:
## NaSrH3 (PBE-GGA)

Data for a relaxed structure of NaSrH3.

Cell: 6.153 6.037 8.181 Å, 95.29 90.00 90.00°
Sites, in units of the cell vectors:
Na 0.263 0.935 0.595
Na 0.737 0.065 0.405
Na 0.763 0.065 0.905
Na 0.237 0.935 0.095
Sr 0.744 0.563 0.148
Sr 0.256 0.437 0.852
Sr 0.244 0.437 0.352
Sr 0.756 0.563 0.648
H 0.023 0.823 0.319
H 0.977 0.177 0.681
H 0.523 0.177 0.181
H 0.477 0.823 0.819
H 0.544 0.728 0.424
H 0.456 0.272 0.576
H 0.044 0.272 0.076
H 0.956 0.728 0.924
H 0.136 0.605 0.616
H 0.864 0.395 0.384
H 0.636 0.395 0.884
H 0.364 0.605 0.116

Computed properties:
Theoretical density ... 2.494 Mg/m³
Space-group type ... P2_1/c (14)
Energy above the lowest structure with this stoichiometry ... 0.0 kJ per mole of atoms